The following is a GGA-PBE calculation of a geometry-optimized Li2CdCu structure, from the Alexandria database.

Energy of formation from the pure elements: -105 meV per atom
Electronic total energy: -2.32 eV/atom
Density of states at the Fermi level: 0.36 states/eV per atom

Cell lengths 4.884, 4.884, 4.884 Å; angles 131.87, 131.87, 70.43 degrees
Sites, in units of the cell vectors:
1 Cu 0.750 0.250 0.500
2 Cd 0.250 0.750 0.500
3 Li 0.500 0.500 0.000
4 Li 0.000 0.000 0.000

The following is a GGA-PBE calculation of a geometry-optimized Li2Cd8Cu structure, from the Alexandria database.

Energy of formation from the pure elements: -84 meV per atom
Energy relative to the lowest polymorph listed for this composition: 29.2 meV/atom
Electronic total energy: -1.47 eV/atom
Density of states at the Fermi level: 0.33 states/eV per atom

Cell lengths 4.742, 6.943, 7.915 Å; angles 116.00, 107.43, 90.00 degrees
Sites, in units of the cell vectors:
1 Cd 0.361 0.578 0.722
2 Cd 0.000 0.289 0.000
3 Cd 0.834 0.834 0.668
4 Cd 0.166 0.166 0.332
5 Cd 0.361 0.143 0.721
6 Cd 0.639 0.857 0.279
7 Cd 0.639 0.422 0.278
8 Cd 0.000 0.711 0.000
9 Li 0.807 0.307 0.614
10 Li 0.193 0.693 0.386
11 Cu 0.500 0.000 0.000

The following is a GGA-PBE calculation of a geometry-optimized LiCd2Cu structure, from the Alexandria database.

Energy of formation from the pure elements: -114 meV per atom
Electronic total energy: -2.07 eV/atom
Density of states at the Fermi level: 0.22 states/eV per atom

Cell lengths 7.204, 4.499, 3.347 Å; angles 90.05, 62.24, 128.85 degrees
Sites, in units of the cell vectors:
1 Li 0.500 0.500 0.000
2 Cu 0.000 0.500 0.500
3 Cd 0.000 0.000 0.000
4 Cd 0.500 0.000 0.500

The following is a GGA-PBE calculation of a geometry-optimized Li6CdCu structure, from the Alexandria database.

Energy of formation from the pure elements: -67 meV per atom
Electronic total energy: -2.13 eV/atom
Density of states at the Fermi level: 0.35 states/eV per atom

Cell lengths 4.077, 4.077, 8.126 Å; angles 90.00, 90.00, 90.00 degrees
Sites, in units of the cell vectors:
1 Li 0.000 0.500 0.732
2 Li 0.500 0.500 0.500
3 Li 0.500 0.000 0.268
4 Li 0.500 0.000 0.732
5 Li 0.500 0.500 0.000
6 Li 0.000 0.500 0.268
7 Cu 0.000 0.000 0.500
8 Cd 0.000 0.000 0.000